The following is a PBE calculation of a geometry-optimized Rb2NpH4 structure, from Alexandria.

Structure (POSCAR):
```
Rb2NpH4
1.0
-2.841 -0.472 -3.399
0.394 -4.429 0.285
-7.044 -2.653 3.336
Np H Rb
1 4 2
Cartesian
0.000 0.000 0.000
-4.217 -4.962 -1.626
-5.274 -2.591 1.848
0.197 -2.214 0.143
-1.421 -0.236 -1.700
-6.449 -5.040 0.250
-3.043 -2.513 -0.028
```

Results
Energy   -0.1456 hartree per atom
Size of the total moment   5.002 Bohr magnetons per cell
ρ   4.5 Mg/m³

The following is a PBE calculation of a geometry-optimized NbAl7V5 structure, from Alexandria.

Structure (POSCAR):
```
NbAl7V5
1.0
-0.910 5.040 0.834
-0.276 1.533 6.576
5.688 3.602 0.586
Nb Al V
1 7 5
Cartesian
5.351 5.134 7.101
1.126 5.071 2.873
3.295 5.103 5.043
2.821 7.959 3.413
0.798 7.257 5.445
1.016 2.542 1.890
0.448 4.457 5.840
4.085 5.719 2.187
2.184 5.873 7.262
1.729 8.389 7.679
5.071 6.874 4.362
4.616 9.391 4.779
3.474 7.633 6.095
```

Results
Formation energy   -0.16 eV per atom
Size of the total moment   0.000 Bohr magnetons per cell
ρ   4.4 Mg/m³

The following is a PBE calculation of a geometry-optimized ScTc2 structure, from Alexandria.

Structure (POSCAR):
```
ScTc2
1.0
-4.128 -0.298 -0.294
2.036 -2.172 2.889
-0.389 2.942 2.486
Sc Tc
1 2
Cartesian
0.000 0.000 0.000
-0.213 -0.076 3.071
-2.268 0.548 2.010
```

Results
Formation energy   0.25 eV per atom
Size of the total moment   0.000 Bohr magnetons per cell
ρ   6.9 Mg/m³
Polymorph energy (0 for the lowest one)   53.8 kJ per mole of atoms

The following is a PBE calculation of a geometry-optimized Pm2Al3ZnCu4 structure, from Alexandria.

Structure (POSCAR):
```
Pm2Al3ZnCu4
1.0
-1.016 2.392 3.330
1.898 -2.766 2.566
8.679 5.048 -0.977
Pm Al Zn Cu
2 3 1 4
Cartesian
1.628 2.438 1.424
7.492 2.423 0.546
4.339 2.524 -0.489
7.068 5.603 0.812
2.051 -0.742 1.159
4.780 2.337 2.459
0.441 -0.187 2.948
0.000 0.000 0.000
4.982 4.390 1.047
4.137 0.471 0.924
```

Results
Formation energy   -0.35 eV per atom
Size of the total moment   0.000 Bohr magnetons per cell
ρ   6.4 Mg/m³

The following is a PBE calculation of a geometry-optimized LiSi2Rh structure, from Alexandria.

Structure (POSCAR):
```
LiSi2Rh
1.0
-0.642 0.966 -2.728
-3.350 -0.390 0.650
-0.219 4.783 1.745
Li Rh Si
1 1 2
Cartesian
-0.107 2.342 0.854
-2.163 3.951 0.298
-0.215 4.716 1.720
-2.053 1.523 -0.588
```

Results
Uncorrected formation energy   -0.38 eV per atom
Size of the total moment   0.000 Bohr magnetons per cell
ρ   5.3 Mg/m³
Polymorph energy (0 for the lowest one)   11.2 kJ per mole of atoms

The following is a PBE calculation of a geometry-optimized Mn2NbAlC structure, from Alexandria.

Structure (POSCAR):
```
Mn2NbAlC
1.0
3.854 0.000 0.000
0.000 3.854 0.000
0.000 0.000 4.369
C Nb Mn Al
1 1 2 1
Cartesian
0.000 0.000 0.000
0.000 0.000 2.184
0.000 1.927 0.000
1.927 0.000 0.000
1.927 1.927 2.184
```

Results
Formation energy   -0.15 eV per atom
Size of the total moment   4.191 Bohr magnetons per cell
ρ   6.2 Mg/m³
Polymorph energy (0 for the lowest one)   0.0 kJ per mole of atoms